Record 1
Entry from Alexandria: a crystal of Ni2AgTe relaxed with PBEsol (meta-GGA SCAN).

Computed properties:
The density of states at the Fermi level is 2.3 states/eV/f.u. The value obtained for the raw formation energy is 0.394 eV/atom. Its total magnetization is 0.000 μB/cell.

Cell and atoms, written as CIF:
```
data_Ni2AgTe
_cell_length_a 6.229
_cell_length_b 6.229
_cell_length_c 6.229
_cell_angle_alpha 90.00
_cell_angle_beta 90.00
_cell_angle_gamma 90.00
_symmetry_space_group_name_H-M 'F -4 3 m'
_symmetry_Int_Tables_number 216
_symmetry_space_group_name_Hall 'F -4 2 3'
loop_
_atom_site_label
_atom_site_type_symbol
_atom_site_fract_x
_atom_site_fract_y
_atom_site_fract_z
Ni1 Ni 0.000 0.000 0.000
Ni2 Ni 0.250 0.250 0.250
Ag1 Ag 0.250 0.250 0.750
Te1 Te 0.000 0.000 0.500
```

Record 2
Entry from Alexandria: a crystal of RuRh2W relaxed with PBEsol (meta-GGA SCAN).

Computed properties:
The density of states at the Fermi level is 2.6 states/eV/f.u. The energy above the most stable polymorph in this dataset comes out at 0.053 eV/atom. The formation enthalpy at 0 K comes out at -0.6 eV per formula unit. Its total magnetization is 0.000 μB/cell.

Cell and atoms, written as CIF:
```
data_RuRh2W
_cell_length_a 3.794
_cell_length_b 3.794
_cell_length_c 7.710
_cell_angle_alpha 90.00
_cell_angle_beta 90.00
_cell_angle_gamma 90.00
_symmetry_space_group_name_H-M 'I 4/m m m'
_symmetry_Int_Tables_number 139
_symmetry_space_group_name_Hall '-I 4 2'
loop_
_atom_site_label
_atom_site_type_symbol
_atom_site_fract_x
_atom_site_fract_y
_atom_site_fract_z
Ru1 Ru 0.000 0.000 0.000
Rh1 Rh 0.000 0.500 0.250
W1 W 0.000 0.000 0.500
```

Record 3
Entry from Alexandria: a crystal of Ba2Ag relaxed with PBEsol (meta-GGA SCAN).

Computed properties:
The density of states at the Fermi level is 2.7 states/eV/f.u. The energy above the most stable polymorph in this dataset comes out at 0.058 eV/atom. The formation enthalpy at 0 K comes out at -0.4 eV per formula unit. Its total magnetization is 1.337 μB/cell.

Cell and atoms, written as CIF:
```
data_Ba2Ag
_cell_length_a 4.067
_cell_length_b 20.276
_cell_length_c 5.868
_cell_angle_alpha 90.00
_cell_angle_beta 90.00
_cell_angle_gamma 90.00
_symmetry_space_group_name_H-M 'C m c m'
_symmetry_Int_Tables_number 63
_symmetry_space_group_name_Hall '-C 2c 2'
loop_
_atom_site_label
_atom_site_type_symbol
_atom_site_fract_x
_atom_site_fract_y
_atom_site_fract_z
Ba1 Ba 0.000 0.068 0.250
Ba2 Ba 0.000 0.200 0.750
Ag1 Ag 0.000 0.433 0.250
```

Record 4
Entry from Alexandria: a crystal of AgRhSe2 relaxed with PBEsol (meta-GGA SCAN).

Computed properties:
The density of states at the Fermi level is 3.5 states/eV/f.u. The value obtained for the raw formation energy is 0.570 eV/atom. Its total magnetization is 0.000 μB/cell.

Cell and atoms, written as CIF:
```
data_AgRhSe2
_cell_length_a 6.487
_cell_length_b 6.487
_cell_length_c 6.487
_cell_angle_alpha 90.00
_cell_angle_beta 90.00
_cell_angle_gamma 90.00
_symmetry_space_group_name_H-M 'F -4 3 m'
_symmetry_Int_Tables_number 216
_symmetry_space_group_name_Hall 'F -4 2 3'
loop_
_atom_site_label
_atom_site_type_symbol
_atom_site_fract_x
_atom_site_fract_y
_atom_site_fract_z
Ag1 Ag 0.000 0.000 0.000
Rh1 Rh 0.250 0.250 0.750
Se1 Se 0.000 0.000 0.500
Se2 Se 0.250 0.250 0.250
```

Record 5
Entry from Alexandria: a crystal of LaRuSe2 relaxed with PBEsol (meta-GGA SCAN).

Computed properties:
The density of states at the Fermi level is 2.2 states/eV/f.u. The energy above the most stable polymorph in this dataset comes out at 0.000 eV/atom. The value obtained for the raw formation energy is -1.036 eV/atom. Its total magnetization is 0.001 μB/cell.

Cell and atoms, written as CIF:
```
data_LaRuSe2
_cell_length_a 3.974
_cell_length_b 5.619
_cell_length_c 7.412
_cell_angle_alpha 90.00
_cell_angle_beta 90.00
_cell_angle_gamma 90.00
_symmetry_space_group_name_H-M 'I m m m'
_symmetry_Int_Tables_number 71
_symmetry_space_group_name_Hall '-I 2 2'
loop_
_atom_site_label
_atom_site_type_symbol
_atom_site_fract_x
_atom_site_fract_y
_atom_site_fract_z
La1 La 0.000 0.000 0.000
Ru1 Ru 0.000 0.000 0.500
Se1 Se 0.000 0.500 0.196
```

Record 6
Entry from Alexandria: a crystal of CdHIN2 relaxed with PBEsol (meta-GGA SCAN).

Computed properties:
The density of states at the Fermi level is 1.8 states/eV/f.u. Its total energy is -15.950 eV per atom. Its total magnetization is 4.709 μB/cell.

Cell and atoms, written as CIF:
```
data_CdHIN2
_cell_length_a 4.168
_cell_length_b 4.168
_cell_length_c 6.360
_cell_angle_alpha 90.00
_cell_angle_beta 90.00
_cell_angle_gamma 90.00
_symmetry_space_group_name_H-M 'P 4/m m m'
_symmetry_Int_Tables_number 123
_symmetry_space_group_name_Hall '-P 4 2'
loop_
_atom_site_label
_atom_site_type_symbol
_atom_site_fract_x
_atom_site_fract_y
_atom_site_fract_z
Cd1 Cd 0.000 0.000 0.000
H1 H 0.500 0.500 0.500
I1 I 0.000 0.000 0.500
N1 N 0.000 0.500 0.000
```

Record 7
Entry from Alexandria: a crystal of GaAsCBr2 relaxed with PBEsol (meta-GGA SCAN).

Computed properties:
The density of states at the Fermi level is 1.2 states/eV/f.u. The value obtained for the raw formation energy is 1.463 eV/atom. Its total magnetization is 0.178 μB/cell.

Cell and atoms, written as CIF:
```
data_GaAsCBr2
_cell_length_a 5.019
_cell_length_b 5.019
_cell_length_c 4.999
_cell_angle_alpha 90.00
_cell_angle_beta 90.00
_cell_angle_gamma 90.00
_symmetry_space_group_name_H-M 'P 4/m m m'
_symmetry_Int_Tables_number 123
_symmetry_space_group_name_Hall '-P 4 2'
loop_
_atom_site_label
_atom_site_type_symbol
_atom_site_fract_x
_atom_site_fract_y
_atom_site_fract_z
Ga1 Ga 0.000 0.000 0.000
As1 As 0.000 0.000 0.500
C1 C 0.500 0.500 0.500
Br1 Br 0.000 0.500 0.000
```

Record 8
Entry from Alexandria: a crystal of FeAsPt relaxed with PBEsol (meta-GGA SCAN).

Computed properties:
The density of states at the Fermi level is 1.9 states/eV/f.u. The formation enthalpy at 0 K comes out at -0.1 eV per formula unit. Its total magnetization is 6.361 μB/cell.

Cell and atoms, written as CIF:
```
data_FeAsPt
_cell_length_a 2.898
_cell_length_b 3.823
_cell_length_c 7.730
_cell_angle_alpha 90.00
_cell_angle_beta 90.00
_cell_angle_gamma 90.00
_symmetry_space_group_name_H-M 'I m m 2'
_symmetry_Int_Tables_number 44
_symmetry_space_group_name_Hall 'I 2 -2'
loop_
_atom_site_label
_atom_site_type_symbol
_atom_site_fract_x
_atom_site_fract_y
_atom_site_fract_z
Fe1 Fe 0.000 0.000 0.000
As1 As 0.000 0.000 0.325
Pt1 Pt 0.000 0.000 0.656
```

Record 9
Entry from Alexandria: a crystal of LiMo4Pb relaxed with PBEsol (meta-GGA SCAN).

Computed properties:
The density of states at the Fermi level is 5.0 states/eV/f.u. The formation enthalpy at 0 K comes out at 3.6 eV per formula unit. Its total magnetization is 0.000 μB/cell.

Cell and atoms, written as CIF:
```
data_LiMo4Pb
_cell_length_a 7.459
_cell_length_b 7.459
_cell_length_c 7.459
_cell_angle_alpha 90.00
_cell_angle_beta 90.00
_cell_angle_gamma 90.00
_symmetry_space_group_name_H-M 'F -4 3 m'
_symmetry_Int_Tables_number 216
_symmetry_space_group_name_Hall 'F -4 2 3'
loop_
_atom_site_label
_atom_site_type_symbol
_atom_site_fract_x
_atom_site_fract_y
_atom_site_fract_z
Li1 Li 0.000 0.000 0.000
Mo1 Mo 0.127 0.127 0.373
Pb1 Pb 0.250 0.250 0.750
```

Record 10
Entry from Alexandria: a crystal of PbWAu4 relaxed with PBEsol (meta-GGA SCAN).

Computed properties:
The density of states at the Fermi level is 2.6 states/eV/f.u. The formation enthalpy at 0 K comes out at 4.3 eV per formula unit. Its total magnetization is 13.141 μB/cell.

Cell and atoms, written as CIF:
```
data_PbWAu4
_cell_length_a 7.719
_cell_length_b 7.719
_cell_length_c 7.719
_cell_angle_alpha 90.00
_cell_angle_beta 90.00
_cell_angle_gamma 90.00
_symmetry_space_group_name_H-M 'F -4 3 m'
_symmetry_Int_Tables_number 216
_symmetry_space_group_name_Hall 'F -4 2 3'
loop_
_atom_site_label
_atom_site_type_symbol
_atom_site_fract_x
_atom_site_fract_y
_atom_site_fract_z
Pb1 Pb 0.000 0.000 0.000
W1 W 0.250 0.250 0.250
Au1 Au 0.125 0.125 0.625
```

Record 11
Entry from Alexandria: a crystal of Ti3CoCu relaxed with PBEsol (meta-GGA SCAN).

Computed properties:
The density of states at the Fermi level is 9.0 states/eV/f.u. The formation enthalpy at 0 K comes out at 4.2 eV per formula unit. Its total magnetization is 1.208 μB/cell.

Cell and atoms, written as CIF:
```
data_Ti3CoCu
_cell_length_a 4.468
_cell_length_b 4.468
_cell_length_c 4.468
_cell_angle_alpha 90.00
_cell_angle_beta 90.00
_cell_angle_gamma 90.00
_symmetry_space_group_name_H-M 'P m -3 m'
_symmetry_Int_Tables_number 221
_symmetry_space_group_name_Hall '-P 4 2 3'
loop_
_atom_site_label
_atom_site_type_symbol
_atom_site_fract_x
_atom_site_fract_y
_atom_site_fract_z
Ti1 Ti 0.000 0.000 0.500
Co1 Co 0.500 0.500 0.500
Cu1 Cu 0.000 0.000 0.000
```

Record 12
Entry from Alexandria: a crystal of TlReBr2 relaxed with PBEsol (meta-GGA SCAN).

Computed properties:
The density of states at the Fermi level is 2.6 states/eV/f.u. The energy above the most stable polymorph in this dataset comes out at 0.000 eV/atom. The value obtained for the raw formation energy is 0.517 eV/atom. Its total magnetization is 0.000 μB/cell.

Cell and atoms, written as CIF:
```
data_TlReBr2
_cell_length_a 3.053
_cell_length_b 3.757
_cell_length_c 8.480
_cell_angle_alpha 90.00
_cell_angle_beta 90.42
_cell_angle_gamma 90.00
_symmetry_space_group_name_H-M 'P 1 2/m 1'
_symmetry_Int_Tables_number 10
_symmetry_space_group_name_Hall '-P 2y'
loop_
_atom_site_label
_atom_site_type_symbol
_atom_site_fract_x
_atom_site_fract_y
_atom_site_fract_z
Tl1 Tl 0.000 0.000 0.000
Re1 Re 0.500 0.000 0.500
Br1 Br 0.497 0.500 0.310
```

What is the formula in the eighth record? FeAsPt